No. 1
First-principles (GGA-PBE) data for CaTi2Cd2 after structural relaxation, as listed in Alexandria via LeMat-Bulk.

Unit cell a=8.3148 b=8.3148 c=3.2359 alpha=90.00 beta=90.00 gamma=90.00
Each line ends with the local moment (μB).
Element x y z (fractional)
Ca 0.0000 0.0000 0.0000  0.02
Ti 0.3426 0.1574 0.5000  0.48
Ti 0.6574 0.8426 0.5000  0.48
Cd 0.3614 0.8614 0.0000  0.01
Ti 0.8426 0.3426 0.5000  0.43
Ti 0.1574 0.6574 0.5000  0.43
Cd 0.6386 0.1386 0.0000  0.01
Ca 0.5000 0.5000 0.0000  0.02
Cd 0.8614 0.6386 0.0000  0.01
Cd 0.1386 0.3614 0.0000  0.01

Summary:
Formation energy from the elements = 22.3 kJ per mole of atoms
Calculated density = 5.354 g/cm³
Crystal system = tetragonal

No. 2
First-principles (GGA-PBE) data for CaTi3Cd after structural relaxation, as listed in Alexandria via LeMat-Bulk.

Unit cell a=4.7884 b=4.7884 c=4.7884 alpha=90.00 beta=90.00 gamma=90.00
Each line ends with the local moment (μB).
Element x y z (fractional)
Ti 0.0000 0.0000 0.5000  0.75
Ti 0.0000 0.5000 0.0000  0.91
Cd 0.5000 0.5000 0.5000  -0.01
Ca 0.0000 0.0000 0.0000  0.27
Ti 0.5000 0.0000 0.0000  0.77

Summary:
Formation energy from the elements = 152.1 kJ per mole of atoms
Calculated density = 4.478 g/cm³
Crystal system = cubic

No. 3
First-principles (GGA-PBE) data for CaTi3Cd after structural relaxation, as listed in Alexandria via LeMat-Bulk.

Unit cell a=5.1434 b=5.1434 c=5.1434 alpha=90.00 beta=90.00 gamma=90.00
Each line ends with the local moment (μB).
Element x y z (fractional)
Ti 0.0000 0.0000 0.5000  0.95
Ca 0.5000 0.5000 0.5000  0.06
Cd 0.0000 0.0000 0.0000  0.05
Ti 0.5000 0.0000 0.0000  1.15
Ti 0.0000 0.5000 0.0000  0.90

Summary:
Formation energy from the elements = 100.1 kJ per mole of atoms
Calculated density = 3.613 g/cm³
Crystal system = cubic

No. 4
First-principles (GGA-PBE) data for Ca3TiCd after structural relaxation, as listed in Alexandria via LeMat-Bulk.

Unit cell a=5.8410 b=5.8410 c=5.8410 alpha=90.00 beta=90.00 gamma=90.00
Each line ends with the local moment (μB).
Element x y z (fractional)
Ti 0.0000 0.0000 0.0000  2.17
Cd 0.5000 0.5000 0.5000  -0.01
Ca 0.0000 0.5000 0.0000  0.17
Ca 0.0000 0.0000 0.5000  0.19
Ca 0.5000 0.0000 0.0000  0.11

Summary:
Formation energy from the elements = 67.7 kJ per mole of atoms
Calculated density = 2.337 g/cm³
Crystal system = cubic

No. 5
First-principles (GGA-PBE) data for Ca2TiTlCd after structural relaxation, as listed in Alexandria via LeMat-Bulk.

Unit cell a=5.8985 b=5.3218 c=5.8985 alpha=90.00 beta=90.00 gamma=90.00
Each line ends with the local moment (μB).
Element x y z (fractional)
Tl 0.0000 0.0000 0.0000  0.02
Ca 0.0000 0.0000 0.5000  0.02
Cd 0.5000 0.5000 0.5000  0.03
Ti 0.0000 0.5000 0.0000  1.58
Ca 0.5000 0.0000 0.0000  0.03

Summary:
Formation energy from the elements = 42.5 kJ per mole of atoms
Calculated density = 3.989 g/cm³
Crystal system = tetragonal

No. 6
First-principles (GGA-PBE) data for Ca6Tl2Cd after structural relaxation, as listed in Alexandria via LeMat-Bulk.

Unit cell a=5.4572 b=10.3618 c=10.3755 alpha=90.00 beta=90.03 gamma=90.00
Element x y z (fractional)
Ca 0.5002 0.5289 0.3097
Ca 0.0001 0.3773 0.1211
Tl 0.5003 0.7935 0.7082
Ca 0.0000 0.3102 0.4696
Ca 0.0002 0.9711 0.8097
Ca 0.5000 0.1898 0.9696
Ca 0.5001 0.1227 0.6211
Ca 0.5000 0.8102 0.0304
Cd 0.0000 0.0000 0.5000
Ca 0.9998 0.0289 0.1903
Ca 0.0000 0.6898 0.5304
Tl 0.9997 0.2935 0.7918
Ca 0.4998 0.4711 0.6903
Ca 0.9999 0.6227 0.8789
Ca 0.4999 0.8773 0.3789
Cd 0.5000 0.5000 0.0000
Tl 0.4997 0.2065 0.2918
Tl 0.0003 0.7065 0.2082

Summary:
Formation energy from the elements = -28.2 kJ per mole of atoms
Calculated density = 4.311 g/cm³
Crystal system = orthorhombic